[1]
DFT (GGA-PBEsol) results for a relaxed structure of CdRe2Ni.

abc: 3.1953 4.2926 8.5791
angles: 90.00 90.00 90.00
Last column: nearest neighbours and their distance in Å.
Fractional positions:
Cd 0.0000 0.0000 0.0000  2 Ni 2.66, 4 Cd 2.68, 2 Re 2.94
Cd 0.5000 0.5000 0.0000  2 Ni 2.66, 4 Cd 2.68, 2 Re 2.94
Re 0.0000 0.0000 0.5341  2 Ni 2.46, 6 Re 2.65-2.68
Re 0.0000 0.5000 0.2877  6 Re 2.65-2.68, 2 Cd 2.94
Re 0.5000 0.0000 0.2877  6 Re 2.65-2.68, 2 Cd 2.94
Re 0.5000 0.5000 0.5341  2 Ni 2.46, 6 Re 2.65-2.68
Ni 0.0000 0.5000 0.7514  2 Re 2.46, 2 Cd 2.66, 4 Ni 2.68
Ni 0.5000 0.0000 0.7514  2 Re 2.46, 2 Cd 2.66, 4 Ni 2.68

The symmetry is No. 35. The energy relative to the elements is 0.323 eV/atom. For the density of states at the Fermi level, the calculation gives 5.86 states/eV per cell. The value obtained for the calculated volume is 117.7 Å³ per cell. The mass density is 15.340 g/cm³. The crystal system is orthorhombic.

=====

[2]
DFT (GGA-PBEsol) results for a relaxed structure of Cd2ReNi.

abc: 2.7248 2.7248 8.3603
angles: 90.00 90.00 90.00
Last column: nearest neighbours and their distance in Å.
Fractional positions:
Cd 0.0000 0.0000 0.2277  4 Ni 2.71, 4 Cd 2.72, 4 Re 2.98
Cd 0.0000 0.0000 0.7723  4 Ni 2.71, 4 Cd 2.72, 4 Re 2.98
Re 0.5000 0.5000 0.5000  4 Re 2.72, 8 Cd 2.98
Ni 0.5000 0.5000 0.0000  8 Cd 2.71, 4 Ni 2.72

The symmetry is No. 123. The energy relative to the elements is 0.443 eV/atom. The polymorph energy (0 for the lowest one) comes out at 0.95 eV per formula unit. For the density of states at the Fermi level, the calculation gives 2.88 states/eV per cell. The value obtained for the calculated volume is 62.1 Å³ per cell. The mass density is 12.566 g/cm³. The crystal system is tetragonal.

=====

[3]
DFT (GGA-PBEsol) results for a relaxed structure of CdRe2Ni.

abc: 2.6940 4.4064 10.0280
angles: 90.00 90.00 90.00
Last column: nearest neighbours and their distance in Å.
Fractional positions:
Cd 0.0000 0.0000 0.0000  4 Ni 2.58, 2 Cd 2.69
Cd 0.5000 0.5000 0.5000  4 Ni 2.58, 2 Cd 2.69
Re 0.0000 0.5000 0.2120  2 Ni 2.52, 6 Re 2.69
Re 0.0000 0.5000 0.7880  2 Ni 2.52, 6 Re 2.69
Re 0.5000 0.0000 0.2880  2 Ni 2.52, 6 Re 2.69
Re 0.5000 0.0000 0.7120  2 Ni 2.52, 6 Re 2.69
Ni 0.0000 0.0000 0.5000  4 Re 2.52, 4 Cd 2.58, 2 Ni 2.69
Ni 0.5000 0.5000 0.0000  4 Re 2.52, 4 Cd 2.58, 2 Ni 2.69

The symmetry is No. 71. The energy relative to the elements is 0.312 eV/atom. For the density of states at the Fermi level, the calculation gives 4.78 states/eV per cell. The value obtained for the calculated volume is 119.0 Å³ per cell. The mass density is 15.163 g/cm³. The crystal system is orthorhombic.

=====

[4]
DFT (GGA-PBEsol) results for a relaxed structure of CdRe2Ni.

abc: 2.6490 2.6490 8.2631
angles: 90.00 90.00 90.00
Last column: nearest neighbours and their distance in Å.
Fractional positions:
Cd 0.0000 0.0000 0.0000  4 Cd 2.65
Re 0.5000 0.5000 0.2807  4 Ni 2.61, 4 Re 2.65
Re 0.5000 0.5000 0.7193  4 Ni 2.61, 4 Re 2.65
Ni 0.0000 0.0000 0.5000  8 Re 2.61, 4 Ni 2.65

The symmetry is No. 123. The energy relative to the elements is 0.430 eV/atom. For the density of states at the Fermi level, the calculation gives 2.86 states/eV per cell. The value obtained for the calculated volume is 58.0 Å³ per cell. The mass density is 15.565 g/cm³. The crystal system is tetragonal.

=====

[5]
DFT (GGA-PBEsol) results for a relaxed structure of Cd2ReNi.

abc: 2.8015 2.8015 8.0400
angles: 90.00 90.00 90.00
Last column: nearest neighbours and their distance in Å.
Fractional positions:
Cd 0.0000 0.0000 0.0000  4 Cd 2.80, 4 Re 2.95
Cd 0.5000 0.5000 0.3031  4 Ni 2.75, 4 Cd 2.80
Re 0.5000 0.5000 0.7289  4 Ni 2.49
Ni 0.0000 0.0000 0.5402  4 Re 2.49, 4 Cd 2.75

The symmetry is No. 99. The energy relative to the elements is 0.204 eV/atom. The polymorph energy (0 for the lowest one) comes out at 0.00 eV per formula unit. For the density of states at the Fermi level, the calculation gives 2.45 states/eV per cell. The value obtained for the calculated volume is 63.1 Å³ per cell. The mass density is 12.361 g/cm³. The crystal system is tetragonal.

=====

[6]
DFT (GGA-PBEsol) results for a relaxed structure of CdRe2SiNi.

abc: 4.4454 4.4454 4.1453
angles: 90.00 90.00 90.00
Last column: nearest neighbours and their distance in Å.
Fractional positions:
Cd 0.0000 0.0000 0.0000  8 Re 3.04, 4 Ni 3.14
Re 0.0000 0.5000 0.5000  2 Si 2.22
Re 0.5000 0.0000 0.5000  2 Si 2.22
Si 0.5000 0.5000 0.5000  2 Ni 2.07, 4 Re 2.22
Ni 0.5000 0.5000 0.0000  2 Si 2.07

The symmetry is No. 123. For the density of states at the Fermi level, the calculation gives 4.72 states/eV per cell. The value obtained for the calculated volume is 81.9 Å³ per cell. The mass density is 11.587 g/cm³. The crystal system is tetragonal. Its uncorrected formation energy is 1.0166 eV per atom.

=====

[7]
DFT (GGA-PBEsol) results for a relaxed structure of CdNiRh.

abc: 5.7829 5.7829 5.7829
angles: 90.00 90.00 90.00
Last column: nearest neighbours and their distance in Å.
Fractional positions:
Cd 0.0000 0.0000 0.0000  4 Ni 2.50
Cd 0.0000 0.5000 0.5000  4 Ni 2.50
Cd 0.5000 0.0000 0.5000  4 Ni 2.50
Cd 0.5000 0.5000 0.0000  4 Ni 2.50
Ni 0.2500 0.2500 0.2500  4 Cd 2.50, 4 Rh 2.50
Ni 0.2500 0.7500 0.7500  4 Cd 2.50, 4 Rh 2.50
Ni 0.7500 0.2500 0.7500  4 Cd 2.50, 4 Rh 2.50
Ni 0.7500 0.7500 0.2500  4 Cd 2.50, 4 Rh 2.50
Rh 0.0000 0.0000 0.5000  4 Ni 2.50
Rh 0.0000 0.5000 0.0000  4 Ni 2.50
Rh 0.5000 0.0000 0.0000  4 Ni 2.50
Rh 0.5000 0.5000 0.5000  4 Ni 2.50

The symmetry is No. 216. The energy relative to the elements is 0.361 eV/atom. The polymorph energy (0 for the lowest one) comes out at 0.00 eV per formula unit. For the density of states at the Fermi level, the calculation gives 16.98 states/eV per cell. The value obtained for the calculated volume is 193.4 Å³ per cell. The mass density is 9.411 g/cm³. The crystal system is cubic.

=====

[8]
DFT (GGA-PBEsol) results for a relaxed structure of CdNi2Rh.

abc: 3.7488 3.7488 7.5541
angles: 90.00 90.00 90.00
Last column: nearest neighbours and their distance in Å.
Fractional positions:
Cd 0.0000 0.0000 0.0000  8 Ni 2.65-2.66, 4 Rh 2.66
Cd 0.5000 0.5000 0.5000  8 Ni 2.65-2.66, 4 Rh 2.66
Ni 0.0000 0.0000 0.5000  4 Cd 2.65, 4 Ni 2.66, 4 Rh 2.66
Ni 0.0000 0.5000 0.2500  4 Rh 2.65, 4 Cd 2.66, 4 Ni 2.66
Ni 0.5000 0.0000 0.7500  4 Rh 2.65, 4 Cd 2.66, 4 Ni 2.66
Ni 0.5000 0.5000 0.0000  4 Cd 2.65, 4 Ni 2.66, 4 Rh 2.66
Rh 0.0000 0.5000 0.7500  8 Ni 2.65-2.66, 4 Cd 2.66
Rh 0.5000 0.0000 0.2500  8 Ni 2.65-2.66, 4 Cd 2.66

The symmetry is No. 119. The energy relative to the elements is 0.134 eV/atom. For the density of states at the Fermi level, the calculation gives 9.55 states/eV per cell. The value obtained for the calculated volume is 106.2 Å³ per cell. The mass density is 10.408 g/cm³. The crystal system is tetragonal.

=====

[9]
DFT (GGA-PBEsol) results for a relaxed structure of CdNi2Rh.

abc: 4.0808 2.6702 9.7428
angles: 90.00 90.00 90.00
Last column: nearest neighbours and their distance in Å.
Fractional positions:
Cd 0.0000 0.0000 0.0000  7 Ni 2.52-2.70, 2 Cd 2.67
Cd 0.0000 0.5000 0.5000  7 Ni 2.52-2.70, 2 Cd 2.67
Ni 0.0000 0.0000 0.2590  4 Ni 2.40-2.67, 1 Cd 2.52, 4 Rh 2.61
Ni 0.0000 0.5000 0.7590  4 Ni 2.40-2.67, 1 Cd 2.52, 4 Rh 2.61
Ni 0.5000 0.0000 0.3885  4 Ni 2.40-2.67, 3 Rh 2.56-2.68, 4 Cd 2.67
Ni 0.5000 0.5000 0.8885  4 Ni 2.40-2.67, 3 Rh 2.56-2.68, 4 Cd 2.67
Rh 0.5000 0.0000 0.6639  7 Ni 2.56-2.68, 2 Rh 2.67
Rh 0.5000 0.5000 0.1639  7 Ni 2.56-2.68, 2 Rh 2.67

The symmetry is No. 38. The energy relative to the elements is 0.116 eV/atom. For the density of states at the Fermi level, the calculation gives 11.01 states/eV per cell. The value obtained for the calculated volume is 106.2 Å³ per cell. The mass density is 10.408 g/cm³. The crystal system is orthorhombic.

=====

[10]
DFT (GGA-PBEsol) results for a relaxed structure of CdNiRh2.

abc: 2.7340 3.7046 5.5693
angles: 90.00 90.00 90.00
Last column: nearest neighbours and their distance in Å.
Fractional positions:
Cd 0.0000 0.0000 0.0000  6 Rh 2.72-2.85, 4 Ni 2.73, 2 Cd 2.73
Ni 0.5000 0.5000 0.2623  5 Rh 2.50-2.62, 4 Cd 2.73, 2 Ni 2.73
Rh 0.0000 0.0000 0.4879  6 Rh 2.62-2.73, 4 Ni 2.62, 2 Cd 2.72-2.85
Rh 0.5000 0.5000 0.7108  1 Ni 2.50, 6 Rh 2.62-2.73

The symmetry is No. 25. The energy relative to the elements is 0.078 eV/atom. For the density of states at the Fermi level, the calculation gives 5.83 states/eV per cell. The value obtained for the calculated volume is 56.4 Å³ per cell. The mass density is 11.096 g/cm³. The crystal system is orthorhombic.